3
Lattice="4.226 0.000 0.000 -2.113 3.660 0.000 0.000 0.000 4.638" Properties=species:S:1:pos:R:3 comment="BaC2 PBE-GGA optimized geometry" spacegroup="P-6m2 (187)" m_tot_mub_per_cell=0.00 formation_energy_mev_per_atom=210 pbc="T T T"
Ba 0.000 2.440 2.319
C 0.000 0.000 4.008
C 0.000 0.000 0.630